DFT (PBE) results for an optimized crystal structure of SmSbPt10.

Cell: 4.487 5.380 9.236 Å, 90.00 90.00 90.00°
Positions (direct):
Sm 0.000 0.000 0.000
Sb 0.000 0.500 0.500
Pt 0.000 0.000 0.338
Pt 0.000 0.000 0.662
Pt 0.000 0.500 0.175
Pt 0.000 0.500 0.825
Pt 0.500 0.000 0.500
Pt 0.500 0.247 0.247
Pt 0.500 0.247 0.753
Pt 0.500 0.500 0.000
Pt 0.500 0.753 0.247
Pt 0.500 0.753 0.753



DFT (PBE) results for an optimized crystal structure of Sr2SmSb3Pt4.

Cell: 4.643 4.643 11.427 Å, 90.00 90.00 90.00°
Positions (direct):
Sr 0.000 0.500 0.224
Sr 0.500 0.000 0.776
Sm 0.000 0.000 0.500
Sb 0.000 0.500 0.877
Sb 0.500 0.000 0.123
Sb 0.500 0.500 0.500
Pt 0.000 0.000 0.000
Pt 0.000 0.500 0.647
Pt 0.500 0.000 0.353
Pt 0.500 0.500 0.000



DFT (PBE) results for an optimized crystal structure of Sn4Sb2Pt.

Results
For the distance to the lowest polymorph of the same formula, the calculation gives 0.183 eV per atom.

Cell: 8.861 8.861 8.861 Å, 146.35 146.35 48.32°
Positions (direct):
Sn 0.000 0.500 0.500
Sn 0.173 0.173 0.000
Sn 0.500 0.000 0.500
Sn 0.827 0.827 0.000
Sb 0.361 0.361 0.000
Sb 0.639 0.639 0.000
Pt 0.000 0.000 0.000



DFT (PBE) results for an optimized crystal structure of SnSb2Pt2.

Results
For the distance to the lowest polymorph of the same formula, the calculation gives 0.065 eV per atom.

Cell: 6.603 6.603 6.603 Å, 140.11 140.11 57.69°
Positions (direct):
Sn 0.000 0.000 0.000
Sb 0.250 0.750 0.500
Sb 0.750 0.250 0.500
Pt 0.384 0.384 0.000
Pt 0.616 0.616 0.000



DFT (PBE) results for an optimized crystal structure of SnSbPt3.

Results
For the distance to the lowest polymorph of the same formula, the calculation gives 0.000 eV per atom.

Cell: 4.979 4.979 4.979 Å, 90.00 90.00 90.00°
Positions (direct):
Sn 0.000 0.000 0.000
Sb 0.500 0.500 0.500
Pt 0.000 0.500 0.500
Pt 0.500 0.000 0.500
Pt 0.500 0.500 0.000



DFT (PBE) results for an optimized crystal structure of Sn3SbPt.

Results
For the distance to the lowest polymorph of the same formula, the calculation gives 0.000 eV per atom.

Cell: 5.248 5.248 5.248 Å, 90.00 90.00 90.00°
Positions (direct):
Sn 0.000 0.000 0.500
Sn 0.000 0.500 0.000
Sn 0.500 0.000 0.000
Sb 0.500 0.500 0.500
Pt 0.000 0.000 0.000



DFT (PBE) results for an optimized crystal structure of Sn2Sb2Pt3.

Cell: 6.710 6.710 6.826 Å, 117.37 117.37 35.83°
Positions (direct):
Sn 0.110 0.110 0.469
Sn 0.890 0.890 0.531
Sb 0.370 0.370 0.030
Sb 0.630 0.630 0.970
Pt 0.000 0.000 0.000
Pt 0.257 0.257 0.273
Pt 0.743 0.743 0.727



DFT (PBE) results for an optimized crystal structure of SnSb2Pt2.

Results
For the distance to the lowest polymorph of the same formula, the calculation gives 0.000 eV per atom.

Cell: 7.793 7.793 3.546 Å, 90.00 90.00 90.00°
Positions (direct):
Sn 0.000 0.000 0.000
Sn 0.500 0.500 0.000
Sb 0.160 0.340 0.500
Sb 0.340 0.840 0.500
Sb 0.660 0.160 0.500
Sb 0.840 0.660 0.500
Pt 0.131 0.631 0.000
Pt 0.369 0.131 0.000
Pt 0.631 0.869 0.000
Pt 0.869 0.369 0.000



DFT (PBE) results for an optimized crystal structure of SnSb2Pt7.

Cell: 11.911 11.911 11.911 Å, 160.65 160.65 27.50°
Positions (direct):
Sn 0.000 0.000 0.000
Sb 0.331 0.331 0.000
Sb 0.669 0.669 0.000
Pt 0.090 0.590 0.500
Pt 0.250 0.750 0.500
Pt 0.410 0.910 0.500
Pt 0.500 0.500 0.000
Pt 0.590 0.090 0.500
Pt 0.750 0.250 0.500
Pt 0.910 0.410 0.500



DFT (PBE) results for an optimized crystal structure of SnSbPt.

Cell: 6.715 6.715 6.457 Å, 116.55 116.55 33.70°
Positions (direct):
Sn 0.134 0.134 0.304
Sn 0.866 0.866 0.696
Sb 0.412 0.412 0.232
Sb 0.588 0.588 0.768
Pt 0.238 0.238 0.785
Pt 0.762 0.762 0.215



DFT (PBE) results for an optimized crystal structure of Sn3SbPt12.

Cell: 4.067 4.067 16.252 Å, 90.00 90.00 90.00°
Positions (direct):
Sn 0.000 0.000 0.000
Sn 0.000 0.000 0.248
Sn 0.000 0.000 0.752
Sb 0.000 0.000 0.500
Pt 0.000 0.500 0.125
Pt 0.000 0.500 0.375
Pt 0.000 0.500 0.625
Pt 0.000 0.500 0.875
Pt 0.500 0.000 0.125
Pt 0.500 0.000 0.375
Pt 0.500 0.000 0.625
Pt 0.500 0.000 0.875
Pt 0.500 0.500 0.000
Pt 0.500 0.500 0.250
Pt 0.500 0.500 0.500
Pt 0.500 0.500 0.750



DFT (PBE) results for an optimized crystal structure of SnSbPt2.

Cell: 6.816 6.816 6.816 Å, 123.36 123.36 84.27°
Positions (direct):
Sn 0.000 0.000 0.000
Sn 0.750 0.250 0.500
Sb 0.250 0.750 0.500
Sb 0.500 0.500 0.000
Pt 0.131 0.625 0.006
Pt 0.375 0.381 0.506
Pt 0.619 0.125 0.994
Pt 0.875 0.869 0.494



no.,ΔE_f (raw) (eV/atom)
1,-0.34
2,-0.88
3,0.08
4,-0.09
5,0.46
6,0.03
7,-0.44
8,-0.16
9,-0.33
10,-0.35
11,-0.33
12,-0.17